Entry 1:
# AlAsRh | the Alexandria database | GGA-PBEsol | relaxed
# calculated formation energy = -0.37 eV/atom
data_AlAsRh
_cell_length_a 2.894
_cell_length_b 2.894
_cell_length_c 10.887
_cell_angle_alpha 90.00
_cell_angle_beta 90.00
_cell_angle_gamma 90.00
_symmetry_space_group_name_H-M 'I 4 m m'
_symmetry_Int_Tables_number 107
_symmetry_space_group_name_Hall 'I 4 -2'
loop_
_atom_site_label
_atom_site_type_symbol
_atom_site_fract_x
_atom_site_fract_y
_atom_site_fract_z
Al1 Al 0.000 0.000 0.000
As1 As 0.000 0.000 0.700
Rh1 Rh 0.000 0.000 0.358

---

Entry 2:
# Ni2Pt | the Alexandria database | GGA-PBEsol | relaxed
# calculated formation energy = -0.06 eV/atom
data_Ni2Pt
_cell_length_a 3.628
_cell_length_b 3.628
_cell_length_c 21.956
_cell_angle_alpha 90.00
_cell_angle_beta 90.00
_cell_angle_gamma 90.00
_symmetry_space_group_name_H-M 'I 41/a m d'
_symmetry_Int_Tables_number 141
loop_
_symmetry_equiv_pos_as_xyz
'x,y,z'
'-x,-y,-z'
'-y+1/4,x+3/4,z+1/4'
'y+1/4,-x+3/4,-z+1/4'
'-x+1/2,-y,z+1/2'
'x+1/2,y,-z+1/2'
'y+1/4,-x+1/4,z+3/4'
'-y+1/4,x+1/4,-z+3/4'
'x,-y,-z'
'-x,y,z'
'-y+1/4,-x+1/4,-z+3/4'
'y+1/4,x+1/4,z+3/4'
'-x+1/2,y,-z+1/2'
'x+1/2,-y,z+1/2'
'y+1/4,x+3/4,-z+1/4'
'-y+1/4,-x+3/4,z+1/4'
'x+1/2,y+1/2,z+1/2'
'-x+1/2,-y+1/2,-z+1/2'
'-y+3/4,x+1/4,z+3/4'
'y+3/4,-x+1/4,-z+3/4'
'-x,-y+1/2,z'
'x,y+1/2,-z'
'y+3/4,-x+3/4,z+1/4'
'-y+3/4,x+3/4,-z+1/4'
'x+1/2,-y+1/2,-z+1/2'
'-x+1/2,y+1/2,z+1/2'
'-y+3/4,-x+3/4,-z+1/4'
'y+3/4,x+3/4,z+1/4'
'-x,y+1/2,-z'
'x,-y+1/2,z'
'y+3/4,x+1/4,-z+3/4'
'-y+3/4,-x+1/4,z+3/4'
loop_
_atom_site_label
_atom_site_type_symbol
_atom_site_fract_x
_atom_site_fract_y
_atom_site_fract_z
Ni1 Ni 0.000 0.250 0.125
Ni2 Ni 0.000 0.250 0.293
Pt1 Pt 0.000 0.250 0.794

---

Entry 3:
# MnSb2Cl | the Alexandria database | GGA-PBEsol | relaxed
# ΔE_f (raw) = -39 meV/atom
data_MnSb2Cl
_cell_length_a 3.331
_cell_length_b 3.331
_cell_length_c 7.543
_cell_angle_alpha 90.00
_cell_angle_beta 90.00
_cell_angle_gamma 90.00
_symmetry_space_group_name_H-M 'P 4/m m m'
_symmetry_Int_Tables_number 123
_symmetry_space_group_name_Hall '-P 4 2'
loop_
_atom_site_label
_atom_site_type_symbol
_atom_site_fract_x
_atom_site_fract_y
_atom_site_fract_z
Mn1 Mn 0.000 0.000 0.000
Sb1 Sb 0.500 0.500 0.205
Cl1 Cl 0.000 0.000 0.500

---

Entry 4:
# KPb2Au | the Alexandria database | GGA-PBEsol | relaxed
# calculated formation energy = -0.14 eV/atom
data_KPb2Au
_cell_length_a 3.408
_cell_length_b 5.871
_cell_length_c 11.277
_cell_angle_alpha 90.00
_cell_angle_beta 90.00
_cell_angle_gamma 90.00
_symmetry_space_group_name_H-M 'I m m m'
_symmetry_Int_Tables_number 71
_symmetry_space_group_name_Hall '-I 2 2'
loop_
_atom_site_label
_atom_site_type_symbol
_atom_site_fract_x
_atom_site_fract_y
_atom_site_fract_z
K1 K 0.000 0.000 0.000
Pb1 Pb 0.000 0.500 0.209
Au1 Au 0.000 0.000 0.500

---

Entry 5:
# TcHgTe3 | the Alexandria database | GGA-PBEsol | relaxed
# ΔE_f (raw) = 453 meV/atom
data_TcHgTe3
_cell_length_a 5.191
_cell_length_b 5.191
_cell_length_c 5.191
_cell_angle_alpha 90.00
_cell_angle_beta 90.00
_cell_angle_gamma 90.00
_symmetry_space_group_name_H-M 'P m -3 m'
_symmetry_Int_Tables_number 221
_symmetry_space_group_name_Hall '-P 4 2 3'
loop_
_atom_site_label
_atom_site_type_symbol
_atom_site_fract_x
_atom_site_fract_y
_atom_site_fract_z
Tc1 Tc 0.000 0.000 0.000
Hg1 Hg 0.500 0.500 0.500
Te1 Te 0.000 0.000 0.500

---

Entry 6:
# TaBeNb3 | the Alexandria database | GGA-PBEsol | relaxed
# calculated formation energy = 0.64 eV/atom
data_TaBeNb3
_cell_length_a 4.411
_cell_length_b 4.411
_cell_length_c 4.411
_cell_angle_alpha 90.00
_cell_angle_beta 90.00
_cell_angle_gamma 90.00
_symmetry_space_group_name_H-M 'P m -3 m'
_symmetry_Int_Tables_number 221
_symmetry_space_group_name_Hall '-P 4 2 3'
loop_
_atom_site_label
_atom_site_type_symbol
_atom_site_fract_x
_atom_site_fract_y
_atom_site_fract_z
Ta1 Ta 0.000 0.000 0.000
Be1 Be 0.500 0.500 0.500
Nb1 Nb 0.000 0.500 0.500

---

Entry 7:
# TcIr7 | the Alexandria database | GGA-PBEsol | relaxed
# calculated formation energy = -0.07 eV/atom
data_TcIr7
_cell_length_a 7.654
_cell_length_b 7.654
_cell_length_c 7.654
_cell_angle_alpha 90.00
_cell_angle_beta 90.00
_cell_angle_gamma 90.00
_symmetry_space_group_name_H-M 'F m -3 m'
_symmetry_Int_Tables_number 225
_symmetry_space_group_name_Hall '-F 4 2 3'
loop_
_atom_site_label
_atom_site_type_symbol
_atom_site_fract_x
_atom_site_fract_y
_atom_site_fract_z
Tc1 Tc 0.000 0.000 0.000
Ir1 Ir 0.000 0.000 0.500
Ir2 Ir 0.000 0.250 0.250

---

Entry 8:
# Nd2Co19Si3 | the Alexandria database | GGA-PBEsol | relaxed
# ΔE_f (raw) = -241 meV/atom
data_Nd2Co19Si3
_cell_length_a 11.376
_cell_length_b 9.612
_cell_length_c 6.207
_cell_angle_alpha 90.00
_cell_angle_beta 122.74
_cell_angle_gamma 90.00
_symmetry_space_group_name_H-M 'C 1 2/m 1'
_symmetry_Int_Tables_number 12
_symmetry_space_group_name_Hall '-C 2y'
loop_
_atom_site_label
_atom_site_type_symbol
_atom_site_fract_x
_atom_site_fract_y
_atom_site_fract_z
Nd1 Nd 0.247 0.000 0.373
Co1 Co 0.000 0.000 0.500
Co2 Co 0.044 0.126 0.858
Co3 Co 0.044 0.376 0.729
Co4 Co 0.125 0.206 0.561
Co5 Co 0.126 0.295 0.191
Co6 Co 0.247 0.000 0.873
Si1 Si 0.000 0.500 0.000
Si2 Si 0.250 0.250 0.000

---

| no. | calculated volume (A^3/atom) |
| --- | --- |
| 1 | 15.2 |
| 2 | 12.0 |
| 3 | 20.9 |
| 4 | 28.2 |
| 5 | 28.0 |
| 6 | 17.2 |
| 7 | 14.0 |
| 8 | 11.9 |